1.
The following is a DFT calculation (GGA-PBE) of an optimized crystal structure of NbGaMo2P.

Properties
For the volume, the calculation gives 22.25 Å³/atom. The calculation puts the magnetization at 0.00 Bohr magnetons per cell. As for the raw total energy: -6.3133 eV per atom.

Cell lengths 4.7686, 4.8930, 4.7686 Å; angles 90.00, 90.00, 90.00 degrees
Sites, in units of the cell vectors:
Mo 0.0000 0.0000 0.5000
P 0.5000 0.5000 0.5000
Nb 0.0000 0.0000 0.0000
Mo 0.5000 0.0000 0.0000
Ga 0.0000 0.5000 0.0000

2.
The following is a DFT calculation (GGA-PBE) of an optimized crystal structure of NbGaMoPt.

Properties
For the volume, the calculation gives 16.11 Å³/atom. The calculation puts the magnetization at 0.00 Bohr magnetons per cell. As for the raw total energy: -7.7333 eV per atom.

Cell lengths 4.4999, 4.4999, 4.4999 Å; angles 60.00, 60.00, 60.00 degrees
Sites, in units of the cell vectors:
Ga 0.5000 0.5000 0.5000
Nb 0.0000 0.0000 0.0000
Pt 0.2500 0.2500 0.2500
Mo 0.7500 0.7500 0.7500

3.
The following is a DFT calculation (GGA-PBE) of an optimized crystal structure of NbGaMoRh2.

Properties
For the volume, the calculation gives 20.79 Å³/atom. The calculation puts the magnetization at 0.38 Bohr magnetons per cell. As for the raw total energy: -6.3024 eV per atom.

Cell lengths 4.6316, 4.8463, 4.6316 Å; angles 90.00, 90.00, 90.00 degrees
Sites, in units of the cell vectors:
Rh 0.5000 0.0000 0.0000
Mo 0.5000 0.5000 0.5000
Nb 0.0000 0.0000 0.0000
Ga 0.0000 0.5000 0.0000
Rh 0.0000 0.0000 0.5000

4.
The following is a DFT calculation (GGA-PBE) of an optimized crystal structure of NbGaMoRu.

Properties
For the volume, the calculation gives 15.64 Å³/atom. The calculation puts the magnetization at 0.00 Bohr magnetons per cell. As for the raw total energy: -8.4450 eV per atom.

Cell lengths 4.4562, 4.4562, 4.4562 Å; angles 60.00, 60.00, 60.00 degrees
Sites, in units of the cell vectors:
Mo 0.5000 0.5000 0.5000
Ga 0.7500 0.7500 0.7500
Ru 0.0000 0.0000 0.0000
Nb 0.2500 0.2500 0.2500

Copy entry 1 word for word.
The following is a DFT calculation (GGA-PBE) of an optimized crystal structure of NbGaMo2P.

Properties
For the volume, the calculation gives 22.25 Å³/atom. The calculation puts the magnetization at 0.00 Bohr magnetons per cell. As for the raw total energy: -6.3133 eV per atom.

Cell lengths 4.7686, 4.8930, 4.7686 Å; angles 90.00, 90.00, 90.00 degrees
Sites, in units of the cell vectors:
Mo 0.0000 0.0000 0.5000
P 0.5000 0.5000 0.5000
Nb 0.0000 0.0000 0.0000
Mo 0.5000 0.0000 0.0000
Ga 0.0000 0.5000 0.0000

Which value of raw total energy does entry 1 give? -6.3133 eV per atom